# ReHOs3

ReHOs3 after structural relaxation (GGA-PBE, the Alexandria database).

The structure in CIF format:
```
data_ReHOs3
_chemical_formula_sum 'Re1 H1 Os3'
_cell_length_a 4.743
_cell_length_b 4.743
_cell_length_c 4.743
_cell_angle_alpha 90.00
_cell_angle_beta 90.00
_cell_angle_gamma 90.00
_space_group_name_H-M_alt 'P m -3 m'
_space_group_IT_number 221
_space_group_name_Hall '-P 4 2 3'
loop_
_atom_site_label
_atom_site_type_symbol
_atom_site_fract_x
_atom_site_fract_y
_atom_site_fract_z
Re1 Re 0.000 0.000 0.000
H1 H 0.500 0.500 0.500
Os1 Os 0.000 0.000 0.500
```

DFT total energy in eV per atom: -7.004